Entry 1:
BeIn2SiGe: PBEsol geometry, meta-GGA SCAN.

Values from the calculation:
* M_tot: 0.00 μB per atom
* VASP energy: -94.50 eV/cell
* density: 4.4 Mg/m³

```
BeIn2SiGe
1.0
5.2030 0.0000 0.0000
0.0000 5.2030 0.0000
0.0000 0.0000 4.7642
Be In Si Ge
1 2 1 1
direct
0.0000 0.0000 0.0000
0.0000 0.5000 0.5000
0.5000 0.0000 0.5000
0.5000 0.5000 0.0000
0.5000 0.5000 0.5000
```

***

Entry 2:
MgZrZn: PBEsol geometry, meta-GGA SCAN.

Values from the calculation:
* formation energy from the elements: -4.5 kcal/mol of atoms
* M_tot: 0.12 μB per atom
* density: 5.3 Mg/m³

```
MgZrZn
1.0
-1.5327 1.5327 6.0316
1.5327 -1.5327 6.0316
1.5327 1.5327 -6.0316
Mg Zr Zn
1 1 1
direct
0.0000 0.0000 0.0000
0.3041 0.3041 0.0000
0.6515 0.6515 0.0000
```

***

Which of these has the highest density?
MgZrZn